Compound: CeSmI6
Source: Alexandria
Functional: PBE
Structure: relaxed

a b c (Å): 7.7986 7.7966 8.4187
angles (deg): 62.39 62.40 60.00
Positions (direct):
Ce1 0.0000 0.0000 0.0000
Sm1 0.5000 0.5000 0.5000
I1 0.0920 0.4133 0.7474
I2 0.7471 0.0920 0.7477
I3 0.5869 0.2527 0.2525
I4 0.2529 0.9080 0.2523
I5 0.9080 0.5867 0.2526
I6 0.4131 0.7473 0.7475

DOS(E_F) (states/eV per cell): 8.44
Magnetic moment (μB per cell): 1.00
Energy above the lowest structure with this stoichiometry (eV per atom): 0.021
Crystal system: trigonal
Uncorrected energy (eV per atom): -3.813
E_form (uncorrected) (meV per atom): -1319
Space-group type: R-3 (148)